The following is a DFT calculation (PBE with a Hubbard U) of PmV2AsO8 after structural relaxation.

Computed properties:
Energy, eV/atom: -7.323

Cell lengths 7.2012, 7.2012, 6.3340 Å; angles 90.00, 90.00, 90.00 degrees
Space group I-4m2 (No. 119)
One atom of each set of equivalent atoms:
Pm: 0.0000 0.0000 0.0000 x2
V: 0.0000 0.0000 0.5000 x2
V: 0.0000 0.5000 0.2500 x2
As: 0.0000 0.5000 0.7500 x2
O: 0.0000 0.1899 0.6716 x8
O: 0.0000 0.3206 0.0664 x8